Record 1
First-principles (GGA-PBE) data for a relaxed structure of Rb2PuBiS4, as listed in Alexandria via LeMat-Bulk.

Lattice parameters (Å, degrees): 4.176 7.267 8.034 107.40 90.00 90.00
Atoms (fractional coordinates):
1 Rb 0.500 0.000 0.500
2 Rb 0.000 0.500 0.500
3 Pu 0.500 0.500 0.000
4 Bi 0.000 0.000 0.000
5 S 0.500 0.237 0.198
6 S 0.500 0.763 0.802
7 S 0.000 0.276 0.807
8 S 0.000 0.724 0.193

Output
Formation energy without anion corrections: -1.157 eV per atom
Final energy: -45.92 eV for the cell shown
Total magnetic moment: 5.00 μB per formula unit

Record 2
First-principles (GGA-PBE) data for a relaxed structure of LiCePdPb, as listed in Alexandria via LeMat-Bulk.

Lattice parameters (Å, degrees): 4.928 4.928 4.928 60.00 60.00 60.00
Atoms (fractional coordinates):
1 Pb 0.750 0.750 0.750
2 Pd 0.500 0.500 0.500
3 Ce 0.250 0.250 0.250
4 Li 0.000 0.000 0.000

Output
Energy of formation: -0.52 eV/atom
Final energy: -18.85 eV for the cell shown
Total magnetic moment: 0.95 μB per formula unit

Record 3
First-principles (GGA-PBE) data for a relaxed structure of K2ZrCu, as listed in Alexandria via LeMat-Bulk.

Lattice parameters (Å, degrees): 4.871 4.871 10.174 77.56 77.56 41.26
Atoms (fractional coordinates):
1 Cu 0.723 0.723 0.625
2 K 0.096 0.096 0.918
3 K 0.246 0.246 0.332
4 Zr 0.435 0.435 0.625

Output
Energy of formation: 0.54 eV/atom
Energy above the most stable polymorph in this dataset: 0.1331 eV/atom
Final energy: -12.68 eV for the cell shown
Total magnetic moment: 0.00 μB per formula unit

Record 4
First-principles (GGA-PBE) data for a relaxed structure of Li4Rh, as listed in Alexandria via LeMat-Bulk.

Lattice parameters (Å, degrees): 2.993 5.248 5.248 85.34 73.43 73.43
Atoms (fractional coordinates):
1 Li 0.223 0.183 0.371
2 Li 0.594 0.629 0.183
3 Li 0.777 0.817 0.629
4 Li 0.406 0.371 0.817
5 Rh 0.000 0.000 0.000

Output
Energy of formation: -0.07 eV/atom
Energy above the most stable polymorph in this dataset: 0.0000 eV/atom
Final energy: -15.34 eV for the cell shown
Total magnetic moment: 0.00 μB per formula unit

Record 5
First-principles (GGA-PBE) data for a relaxed structure of TcPd3Se, as listed in Alexandria via LeMat-Bulk.

Lattice parameters (Å, degrees): 4.778 4.778 4.778 90.00 90.00 90.00
Atoms (fractional coordinates):
1 Se 0.500 0.500 0.500
2 Tc 0.000 0.000 0.000
3 Pd 0.000 0.500 0.000
4 Pd 0.000 0.000 0.500
5 Pd 0.500 0.000 0.000

Output
Energy above the most stable polymorph in this dataset: 0.5302 eV/atom
Formation energy without anion corrections: 1.199 eV per atom
Final energy: -23.43 eV for the cell shown
Total magnetic moment: 0.00 μB per formula unit

Record 6
First-principles (GGA-PBE) data for a relaxed structure of CdAgIr, as listed in Alexandria via LeMat-Bulk.

Lattice parameters (Å, degrees): 6.495 6.495 6.495 154.18 154.18 36.84
Atoms (fractional coordinates):
1 Ir 0.667 0.667 0.000
2 Ag 0.006 0.006 0.000
3 Cd 0.327 0.327 0.000

Output
Energy of formation: 0.27 eV/atom
Energy above the most stable polymorph in this dataset: 0.0452 eV/atom
Final energy: -11.81 eV for the cell shown
Total magnetic moment: 0.00 μB per formula unit

Record 7
First-principles (GGA-PBE) data for a relaxed structure of CsScSe2, as listed in Alexandria via LeMat-Bulk.

Lattice parameters (Å, degrees): 7.756 11.022 7.386 90.00 90.00 90.00
Atoms (fractional coordinates):
1 Cs 0.918 0.379 0.981
2 Cs 0.082 0.621 0.481
3 Cs 0.582 0.879 0.481
4 Cs 0.418 0.121 0.981
5 Sc 0.016 0.876 0.004
6 Sc 0.984 0.124 0.504
7 Sc 0.484 0.376 0.504
8 Sc 0.516 0.624 0.004
9 Se 0.313 0.796 0.100
10 Se 0.687 0.204 0.600
11 Se 0.187 0.296 0.600
12 Se 0.813 0.704 0.100
13 Se 0.049 0.923 0.665
14 Se 0.951 0.077 0.165
15 Se 0.451 0.423 0.165
16 Se 0.549 0.577 0.665

Output
Formation energy without anion corrections: -1.499 eV per atom
Final energy: -80.60 eV for the cell shown
Total magnetic moment: 0.00 μB per formula unit

Record 8
First-principles (GGA-PBE) data for a relaxed structure of Sm6Rh2SeS3, as listed in Alexandria via LeMat-Bulk.

Lattice parameters (Å, degrees): 3.999 8.399 9.230 105.24 102.51 90.00
Atoms (fractional coordinates):
1 Sm 0.327 0.895 0.654
2 Sm 0.668 0.585 0.336
3 Sm 0.673 0.105 0.346
4 Sm 0.007 0.264 0.013
5 Sm 0.993 0.736 0.987
6 Sm 0.332 0.415 0.664
7 Rh 0.830 0.657 0.659
8 Rh 0.170 0.343 0.341
9 Se 0.500 0.000 0.000
10 S 0.500 0.500 0.000
11 S 0.840 0.158 0.681
12 S 0.160 0.842 0.319

Output
Formation energy without anion corrections: -1.506 eV per atom
Final energy: -76.96 eV for the cell shown
Total magnetic moment: 0.00 μB per formula unit

Record 9
First-principles (GGA-PBE) data for a relaxed structure of KAsI2O, as listed in Alexandria via LeMat-Bulk.

Lattice parameters (Å, degrees): 6.217 6.217 4.318 90.00 90.00 90.00
Atoms (fractional coordinates):
1 I 0.000 0.500 0.000
2 I 0.500 0.000 0.000
3 As 0.500 0.500 0.500
4 K 0.000 0.000 0.000
5 O 0.000 0.000 0.500

Output
Energy above the most stable polymorph in this dataset: 1.4405 eV/atom
Formation energy without anion corrections: 0.696 eV per atom
Final energy: -10.33 eV for the cell shown
Total magnetic moment: 0.00 μB per formula unit

Record 10
First-principles (GGA-PBE) data for a relaxed structure of CaAs3C, as listed in Alexandria via LeMat-Bulk.

Lattice parameters (Å, degrees): 4.537 4.537 4.537 90.00 90.00 90.00
Atoms (fractional coordinates):
1 C 0.000 0.000 0.000
2 As 0.000 0.500 0.000
3 As 0.000 0.000 0.500
4 As 0.500 0.000 0.000
5 Ca 0.500 0.500 0.500

Output
Energy of formation: 0.54 eV/atom
Energy above the most stable polymorph in this dataset: 0.0000 eV/atom
Final energy: -22.48 eV for the cell shown
Total magnetic moment: 0.00 μB per formula unit

Record 11
First-principles (GGA-PBE) data for a relaxed structure of Ac3Tb3Pr, as listed in Alexandria via LeMat-Bulk.

Lattice parameters (Å, degrees): 9.971 9.971 8.439 53.79 53.79 60.00
Atoms (fractional coordinates):
1 Ac 0.324 0.885 0.748
2 Ac 0.885 0.044 0.748
3 Ac 0.044 0.324 0.748
4 Ac 0.956 0.676 0.252
5 Ac 0.115 0.956 0.252
6 Ac 0.676 0.115 0.252
7 Tb 0.400 0.532 0.253
8 Tb 0.815 0.400 0.253
9 Tb 0.532 0.815 0.253
10 Tb 0.468 0.185 0.747
11 Tb 0.185 0.600 0.747
12 Tb 0.600 0.468 0.747
13 Pr 0.743 0.743 0.770
14 Pr 0.257 0.257 0.230

Output
Energy of formation: 0.05 eV/atom
Final energy: -61.25 eV for the cell shown
Total magnetic moment: 0.00 μB per formula unit

Record 12
First-principles (GGA-PBE) data for a relaxed structure of SiOs2Cl, as listed in Alexandria via LeMat-Bulk.

Lattice parameters (Å, degrees): 5.277 5.277 6.554 66.26 66.26 90.00
Atoms (fractional coordinates):
1 Si 0.500 0.500 0.000
2 Si 0.250 0.750 0.500
3 Os 0.631 0.125 0.250
4 Os 0.119 0.625 0.250
5 Os 0.375 0.369 0.750
6 Os 0.875 0.881 0.750
7 Cl 0.000 0.000 0.000
8 Cl 0.750 0.250 0.500

Output
Energy above the most stable polymorph in this dataset: 0.6986 eV/atom
Formation energy without anion corrections: 1.024 eV per atom
Final energy: -51.26 eV for the cell shown
Total magnetic moment: 0.00 μB per formula unit